The following is a PBE-GGA calculation of an optimized crystal structure of Sc2HPdPt, from Alexandria.

a b c (Å): 4.5870 4.5870 3.5626
angles (deg): 90.00 90.00 90.00
Fractional positions:
Sc 0.0000 0.5000 0.0000
Sc 0.5000 0.0000 0.0000
H 0.0000 0.0000 0.0000
Pd 0.0000 0.0000 0.5000
Pt 0.5000 0.5000 0.5000

Offset from the most stable computed form (kJ per mole of atoms): 0.00
Space-group type: P4/mmm
DOS(E_F) (states/eV/f.u.): 2.022

=====

The following is a PBE-GGA calculation of an optimized crystal structure of Sm2HPdPt6, from Alexandria.

a b c (Å): 7.2662 7.2662 7.2662
angles (deg): 45.17 45.17 45.17
Fractional positions:
Sm 0.2124 0.2124 0.2124
Sm 0.7876 0.7876 0.7876
H 0.0000 0.0000 0.0000
Pd 0.5000 0.5000 0.5000
Pt 0.2285 0.2285 0.7229
Pt 0.2285 0.7229 0.2285
Pt 0.2771 0.7715 0.7715
Pt 0.7229 0.2285 0.2285
Pt 0.7715 0.2771 0.7715
Pt 0.7715 0.7715 0.2771

Space-group type: R-3m
DOS(E_F) (states/eV/f.u.): 4.127
Raw total energy (hartree per atom): -0.224

=====

The following is a PBE-GGA calculation of an optimized crystal structure of SmH4Pd2Pt, from Alexandria.

a b c (Å): 4.8541 4.8561 4.9324
angles (deg): 116.28 116.45 95.57
Fractional positions:
Sm 0.0000 0.0000 0.0000
H 0.0862 0.4877 0.9751
H 0.5031 0.4885 0.6035
H 0.5125 0.1123 0.0235
H 0.8834 0.8994 0.3956
Pd 0.2488 0.7487 0.5003
Pd 0.4991 0.4994 0.0000
Pt 0.7519 0.2519 0.4998

Space-group type: P1
DOS(E_F) (states/eV/f.u.): 2.128
Raw total energy (hartree per atom): -0.175

=====

The following is a PBE-GGA calculation of an optimized crystal structure of SmH8PdPt2, from Alexandria.

a b c (Å): 6.3154 6.3154 6.3154
angles (deg): 44.36 44.36 44.36
Fractional positions:
Sm 0.0000 0.0000 0.0000
H 0.1391 0.7705 0.4162
H 0.2295 0.5838 0.8609
H 0.3281 0.3281 0.3281
H 0.4162 0.1391 0.7705
H 0.5838 0.8609 0.2295
H 0.6719 0.6719 0.6719
H 0.7705 0.4162 0.1391
H 0.8609 0.2295 0.5838
Pd 0.5000 0.5000 0.5000
Pt 0.2335 0.2335 0.2335
Pt 0.7665 0.7665 0.7665

Space-group type: R-3
DOS(E_F) (states/eV/f.u.): 1.541
Raw total energy (hartree per atom): -0.156